# In3TcW

A relaxed structure of In3TcW (PBE, Alexandria via LeMat-Bulk).

The electronic total energy comes out at -0.1766 hartree per atom. The volume comes out at 143.88 Å³/f.u. The offset from the most stable computed form comes out at 66 meV/atom. As for the magnetic moment: 4.9 μB per cell. The calculation puts the formation enthalpy at 0 K at 724 kJ/mol of formula units.

The space group is Pm-3m (No. 221) and the conventional cell measures 5.240, 5.240 and 5.240 Å, with angles of 90.00, 90.00 and 90.00 degrees. The distinct sites, in fractional coordinates, are In at (0.000, 0.000, 0.500), Tc at (0.500, 0.500, 0.500) and W at (0.000, 0.000, 0.000).